Record 1
## DyPuZnSb (GGA-PBE)

Data for a relaxed DyPuZnSb crystal.

The value obtained for the total moment is 1.60 μB per atom. For the raw formation energy, the calculation gives -39.25 kJ/mol of atoms.

abc: 5.2046 5.2046 5.2046
angles: 60.00 60.00 60.00
Sites, in units of the cell vectors:
Dy: 0.2500 0.2500 0.2500
Zn: 0.0000 0.0000 0.0000
Pu: 0.7500 0.7500 0.7500
Sb: 0.5000 0.5000 0.5000

Record 2
## V5Ni8Rh (GGA-PBE)

Data for a relaxed V5Ni8Rh crystal.

The value obtained for the total moment is 0.00 μB per atom. The energy relative to the elements is 0.08 eV/atom.

abc: 6.1198 6.1198 6.1198
angles: 110.48 107.46 110.48
Sites, in units of the cell vectors:
V: 0.5000 0.0000 0.5000
V: 0.0633 0.3604 0.1249
V: 0.7645 0.6396 0.7030
V: 0.8751 0.9385 0.2355
V: 0.2970 0.0615 0.9367
Rh: 0.2500 0.5000 0.7500
Ni: 0.3411 0.2552 0.3845
Ni: 0.6735 0.4081 0.9461
Ni: 0.1293 0.7448 0.0859
Ni: 0.9141 0.0434 0.6589
Ni: 0.0539 0.7273 0.4619
Ni: 0.6155 0.9566 0.8707
Ni: 0.7346 0.2727 0.3265
Ni: 0.5381 0.5919 0.2654

Record 3
## Zr8Co2C (GGA-PBE)

Data for a relaxed Zr8Co2C crystal.

The value obtained for the total moment is 0.00 μB per atom. The energy relative to the elements is -0.29 eV/atom.

abc: 3.3346 7.9171 8.2558
angles: 95.26 101.65 90.00
Sites, in units of the cell vectors:
Zr: 0.4076 0.4600 0.8151
Zr: 0.0144 0.1983 0.0289
Zr: 0.5924 0.5400 0.1849
Zr: 0.9856 0.8017 0.9711
Zr: 0.7881 0.6642 0.5761
Zr: 0.3526 0.0122 0.7051
Zr: 0.2119 0.3358 0.4239
Zr: 0.6474 0.9878 0.2949
Co: 0.8241 0.2568 0.6482
Co: 0.1759 0.7432 0.3518
C: 0.5000 0.0000 0.0000

Record 4
## Pm2Nd4YEr2 (GGA-PBE)

Data for a relaxed Pm2Nd4YEr2 crystal.

The value obtained for the total moment is 0.00 μB per atom. The energy relative to the elements is 0.02 eV/atom.

abc: 5.1357 8.1248 8.0810
angles: 107.61 90.00 108.42
Sites, in units of the cell vectors:
Er: 0.6674 0.3347 0.9997
Er: 0.3326 0.6653 0.0003
Pm: 0.1118 0.2236 0.6692
Pm: 0.8882 0.7764 0.3308
Nd: 0.7777 0.5554 0.6696
Nd: 0.4450 0.8901 0.6687
Nd: 0.5550 0.1099 0.3313
Nd: 0.2223 0.4446 0.3304
Y: 0.0000 0.0000 0.0000

Record 5
## CaTcBr2 (GGA-PBE)

Data for a relaxed CaTcBr2 crystal.

The value obtained for the total moment is 0.26 μB per atom. For the raw formation energy, the calculation gives -12.49 kJ/mol of atoms. Its distance to the lowest polymorph of the same formula is 234 meV/atom.

abc: 4.1407 4.7332 5.0805
angles: 86.42 90.00 90.00
Sites, in units of the cell vectors:
Br: 0.0000 0.9595 0.9652
Br: 0.0000 0.5405 0.5348
Tc: 0.5000 0.7500 0.7500
Ca: 0.5000 0.2500 0.2500

Record 6
## TbTm2Sc3Sb6 (GGA-PBE)

Data for a relaxed TbTm2Sc3Sb6 crystal.

The value obtained for the total moment is 0.00 μB per atom. For the raw formation energy, the calculation gives -97.53 kJ/mol of atoms.

abc: 7.3888 7.3888 7.3740
angles: 99.60 99.60 120.02
Sites, in units of the cell vectors:
Sb: 0.5760 0.9120 0.7365
Sb: 0.4240 0.0880 0.2635
Sb: 0.7511 0.7511 0.2622
Sb: 0.9120 0.5760 0.7365
Sb: 0.2489 0.2489 0.7378
Sb: 0.0880 0.4240 0.2635
Sc: 0.8348 0.1652 0.5000
Sc: 0.1652 0.8348 0.5000
Sc: 0.5000 0.5000 0.5000
Tm: 0.3329 0.6671 0.0000
Tm: 0.6671 0.3329 0.0000
Tb: 0.0000 0.0000 0.0000